[1]
# Ac2Ag4Sn3Sb

A relaxed structure of Ac2Ag4Sn3Sb (GGA-PBE, Alexandria).

```
10
Lattice="-3.057 -2.834 2.307 3.011 -3.657 -0.502 5.032 2.763 10.063" Properties=species:S:1:pos:R:3 pbc="T T T"
Ac -0.334 -0.761 3.543
Ac 5.343 0.278 7.423
Ag -0.023 -3.245 0.902
Ag 0.000 0.000 0.000
Ag 1.683 0.347 7.577
Ag 3.326 -0.829 3.389
Sn 2.516 1.382 5.032
Sn 2.852 0.989 9.914
Sn 2.157 -1.471 1.051
Sb 2.493 -1.864 5.934
```

Mass density = 8.6 g cm⁻³
Volume = 26.29 Å³/atom

=====

[2]
# AcTbAgSb

A relaxed structure of AcTbAgSb (GGA-PBE, Alexandria).

```
4
Lattice="-2.897 4.252 1.902 -2.792 -0.465 4.699 1.690 2.689 4.473" Properties=species:S:1:pos:R:3 pbc="T T T"
Sb 0.000 0.000 0.000
Ac -1.000 1.619 2.768
Tb -3.000 4.857 8.305
Ag -2.000 3.238 5.536
```

Mass density = 8.8 g cm⁻³
Volume = 29.18 Å³/atom

=====

[3]
# AcTmAgSb

A relaxed structure of AcTmAgSb (GGA-PBE, Alexandria).

```
4
Lattice="-3.101 -4.274 -1.401 1.721 -5.080 1.038 -2.454 -2.979 3.867" Properties=species:S:1:pos:R:3 pbc="T T T"
Sb -2.876 -9.250 2.628
Ac -1.917 -6.167 1.752
Tm 0.000 0.000 0.000
Ag -0.959 -3.083 0.876
```

Mass density = 9.0 g cm⁻³
Volume = 28.83 Å³/atom

=====

[4]
# AcYAgSb

A relaxed structure of AcYAgSb (GGA-PBE, Alexandria).

```
4
Lattice="-1.229 -1.950 4.977 -3.966 -3.746 0.575 1.280 -5.170 1.313" Properties=species:S:1:pos:R:3 pbc="T T T"
Y -2.936 -8.149 5.150
Sb -1.957 -5.433 3.433
Ac -0.979 -2.716 1.717
Ag 0.000 0.000 0.000
```

Mass density = 7.8 g cm⁻³
Volume = 29.18 Å³/atom

=====

[5]
# AcZnAgSb

A relaxed structure of AcZnAgSb (GGA-PBE, Alexandria).

```
4
Lattice="5.250 0.000 0.000 2.625 4.547 0.000 2.625 1.516 4.287" Properties=species:S:1:pos:R:3 pbc="T T T"
Sb 2.625 1.516 1.072
Ac 7.875 4.547 3.215
Zn 5.250 3.031 2.143
Ag 0.000 0.000 0.000
```

Mass density = 8.5 g cm⁻³
Volume = 25.58 Å³/atom

=====

[6]
# AcScAg

A relaxed structure of AcScAg (GGA-PBE, Alexandria).

```
6
Lattice="-2.381 2.369 -3.482 -4.072 -0.274 2.599 1.660 6.498 3.286" Properties=species:S:1:pos:R:3 pbc="T T T"
Ac -0.592 5.513 4.156
Ac -0.974 2.032 -1.312
Ag -1.550 1.765 2.261
Ag -0.016 5.781 0.583
Sc -2.396 4.297 1.201
Sc 0.830 3.249 1.643
```

Mass density = 7.2 g cm⁻³
Volume = 29.13 Å³/atom
Relative energy among the computed polymorphs = 0 meV/atom

=====

[7]
# AcScAg2

A relaxed structure of AcScAg2 (GGA-PBE, Alexandria).

```
4
Lattice="3.699 0.000 0.000 0.000 5.282 0.000 0.000 0.000 5.282" Properties=species:S:1:pos:R:3 pbc="T T T"
Sc 1.849 0.000 0.000
Ac 1.849 2.641 2.641
Ag 0.000 0.000 2.641
Ag 0.000 2.641 0.000
```

Mass density = 7.8 g cm⁻³
Volume = 25.80 Å³/atom
Relative energy among the computed polymorphs = 86 meV/atom

=====

[8]
# AcScAg2

A relaxed structure of AcScAg2 (GGA-PBE, Alexandria).

```
4
Lattice="4.918 0.000 0.000 2.459 4.259 0.000 2.459 1.420 5.178" Properties=species:S:1:pos:R:3 pbc="T T T"
Sc 4.918 2.839 2.589
Ac 0.000 0.000 0.000
Ag 7.377 4.259 3.228
Ag 2.459 1.420 1.951
```

Mass density = 7.5 g cm⁻³
Volume = 27.11 Å³/atom
Relative energy among the computed polymorphs = 13 meV/atom

=====

[9]
# Ac4ScAg5

A relaxed structure of Ac4ScAg5 (GGA-PBE, Alexandria).

```
10
Lattice="-2.340 -2.979 0.576 0.188 -0.868 -3.727 15.489 -11.498 3.461" Properties=species:S:1:pos:R:3 pbc="T T T"
Ac 2.870 -2.130 0.641
Ac 6.121 -4.544 1.368
Ac 9.367 -6.953 2.093
Ac 12.619 -9.367 2.820
Sc 0.000 0.000 0.000
Ag 0.087 -2.787 -1.316
Ag 3.419 -5.260 -0.571
Ag 6.668 -7.672 0.155
Ag 9.918 -10.084 0.881
Ag 13.250 -12.558 1.626
```

Mass density = 8.6 g cm⁻³
Volume = 28.77 Å³/atom

=====

[10]
# Ac3ScAg4

A relaxed structure of Ac3ScAg4 (GGA-PBE, Alexandria).

```
8
Lattice="3.815 0.000 0.000 0.000 3.815 0.000 0.000 0.000 15.482" Properties=species:S:1:pos:R:3 pbc="T T T"
Sc 1.908 1.908 0.000
Ac 1.908 1.908 3.633
Ac 1.908 1.908 7.741
Ac 1.908 1.908 11.849
Ag 0.000 0.000 14.014
Ag 0.000 0.000 1.468
Ag 0.000 0.000 5.688
Ag 0.000 0.000 9.794
```

Mass density = 8.5 g cm⁻³
Volume = 28.17 Å³/atom

=====

[11]
# AcSc2Ag

A relaxed structure of AcSc2Ag (GGA-PBE, Alexandria).

```
4
Lattice="5.282 0.000 0.000 2.641 4.574 0.000 2.641 1.525 4.312" Properties=species:S:1:pos:R:3 pbc="T T T"
Sc 2.641 1.525 1.078
Sc 7.923 4.574 3.234
Ac 0.000 0.000 0.000
Ag 5.282 3.049 2.156
```

Mass density = 6.8 g cm⁻³
Volume = 26.05 Å³/atom
Relative energy among the computed polymorphs = 253 meV/atom

=====

[12]
# AcScAg4

A relaxed structure of AcScAg4 (GGA-PBE, Alexandria).

```
6
Lattice="-5.613 1.367 0.252 -3.683 -3.419 2.862 -2.320 1.784 4.987" Properties=species:S:1:pos:R:3 pbc="T T T"
Sc 0.000 0.000 0.000
Ac -2.904 -0.067 2.025
Ag -6.103 -1.068 2.555
Ag -5.415 1.558 3.628
Ag -7.274 -0.167 5.073
Ag -4.440 -0.858 4.946
```

Mass density = 8.5 g cm⁻³
Volume = 22.79 Å³/atom

=====

Number 1: DFT total energy -0.2945 Ry/atom. Number 2: DFT total energy -0.3262 Ry/atom. Number 3: DFT total energy -0.3196 Ry/atom. Number 4: DFT total energy -0.3605 Ry/atom. Number 5: DFT total energy -0.2505 Ry/atom. Number 6: DFT total energy -0.3374 Ry/atom. Number 7: DFT total energy -0.3064 Ry/atom. Number 8: DFT total energy -0.3117 Ry/atom. Number 9: DFT total energy -0.2887 Ry/atom. Number 10: DFT total energy -0.2923 Ry/atom. Number 11: DFT total energy -0.3446 Ry/atom. Number 12: DFT total energy -0.2748 Ry/atom.